A geometry-optimized Tb3Ce2Ge4 structure, computed with PBE-GGA.

## Properties
total magnetic moment = 0.171 μB/atom
N(E_F) = 29.16 states/eV/cell
formation enthalpy at 0 K = -7.3 eV per formula unit

Cell lengths 8.010, 7.879, 7.696 Å; angles 90.00, 111.82, 90.00 degrees
Fractional positions:
Tb (0.000, 0.000, 0.000)
Tb (0.000, 0.500, 0.500)
Tb (0.261, 0.164, 0.771)
Tb (0.261, 0.336, 0.271)
Tb (0.739, 0.664, 0.729)
Tb (0.739, 0.836, 0.229)
Ce (0.303, 0.682, 0.936)
Ce (0.303, 0.818, 0.436)
Ce (0.697, 0.182, 0.564)
Ce (0.697, 0.318, 0.064)
Ge (0.008, 0.630, 0.129)
Ge (0.008, 0.870, 0.629)
Ge (0.413, 0.035, 0.174)
Ge (0.413, 0.465, 0.674)
Ge (0.587, 0.535, 0.326)
Ge (0.587, 0.965, 0.826)
Ge (0.992, 0.130, 0.371)
Ge (0.992, 0.370, 0.871)